(1)
The following is a DFT calculation (PBE) of a relaxed Ac2Ho8Er3 crystal.

Calculated values
VASP energy: -4.263 eV per atom
Energy relative to the elements: 239 meV per atom
Total magnetic moment: 0.0 μB/f.u.

Lattice parameters (Å, degrees): 21.678 7.721 5.430 90.00 90.02 90.00
Space group C2/m (No. 12)
Symmetry-distinct sites (fractional):
Ac1 0.239 0.000 0.499 (multiplicity 4)
Ho1 0.102 0.287 0.500 (multiplicity 8)
Ho2 0.117 0.000 0.000 (multiplicity 4)
Ho3 0.151 0.500 0.001 (multiplicity 4)
Er1 0.000 0.000 0.500 (multiplicity 2)
Er2 0.000 0.292 0.000 (multiplicity 4)

---

(2)
The following is a DFT calculation (PBE) of a relaxed La6RuAu2N crystal.

Calculated values
ΔE_f (raw): -0.67 eV/atom
VASP energy: -6.038 eV per atom
Total magnetic moment: 0.0 μB/f.u.

Lattice parameters (Å, degrees): 6.974 7.674 12.573 90.00 123.49 90.00
Space group P2_1/c (No. 14)
Symmetry-distinct sites (fractional):
La1 0.124 0.026 0.240 (multiplicity 4)
La2 0.224 0.701 0.055 (multiplicity 4)
La3 0.363 0.180 0.057 (multiplicity 4)
Ru1 0.500 0.000 0.500 (multiplicity 2)
Au1 0.292 0.095 0.744 (multiplicity 4)
N1 0.000 0.000 0.000 (multiplicity 2)

---

(3)
The following is a DFT calculation (PBE) of a relaxed MnCdFe2 crystal.

Calculated values
VASP energy: -6.375 eV per atom
Energy relative to the elements: 378 meV per atom
Total magnetic moment: 2.2 μB/f.u.

Lattice parameters (Å, degrees): 2.6672 2.6672 26.4473 90.00 90.00 120.00
Space group R-3m (No. 166, hexagonal axes)
Symmetry-distinct sites (fractional):
Mn1 0.0000 0.0000 0.0000 (multiplicity 3)
Cd1 0.0000 0.0000 0.5000 (multiplicity 3)
Fe1 0.0000 0.0000 0.2589 (multiplicity 6)

---

Question: Which of these has the lowest VASP energy?
Answer: MnCdFe2

---

Question: Which of these has the highest VASP energy?
Answer: Ac2Ho8Er3

---

Question: Look up the total magnetic moment of the first one.
Answer: 0.0 μB/f.u.